[1]
# TcNi7

A geometry-optimized TcNi7 structure (PBE-GGA, Alexandria).

The uncorrected energy is -6.287 eV per atom. The calculated volume is 11.4 Å³/atom. The value obtained for the formation energy is 0.07 eV per atom.

Structure (CIF):
```
data_TcNi7
_space_group_name_H-M_alt 'F m -3 m'
_space_group_IT_number 225
_space_group_name_Hall '-F 4 2 3'
_cell_length_a 7.141
_cell_length_b 7.141
_cell_length_c 7.141
_cell_angle_alpha 90.00
_cell_angle_beta 90.00
_cell_angle_gamma 90.00
loop_
_atom_site_label
_atom_site_type_symbol
_atom_site_fract_x
_atom_site_fract_y
_atom_site_fract_z
Tc1 Tc 0.000 0.000 0.000
Ni1 Ni 0.000 0.000 0.500
Ni2 Ni 0.000 0.250 0.250
```

[2]
# Tc3Ni

A geometry-optimized Tc3Ni structure (PBE-GGA, Alexandria).

The uncorrected energy is -9.213 eV per atom. The calculation puts the energy above the lowest structure with this stoichiometry at 105.1 meV/atom. The calculated volume is 13.6 Å³/atom. The value obtained for the formation energy is 0.01 eV per atom.

Structure (CIF):
```
data_Tc3Ni
_space_group_name_H-M_alt 'P m -3 m'
_space_group_IT_number 221
_space_group_name_Hall '-P 4 2 3'
_cell_length_a 3.792
_cell_length_b 3.792
_cell_length_c 3.792
_cell_angle_alpha 90.00
_cell_angle_beta 90.00
_cell_angle_gamma 90.00
loop_
_atom_site_label
_atom_site_type_symbol
_atom_site_fract_x
_atom_site_fract_y
_atom_site_fract_z
Tc1 Tc 0.000 0.000 0.500
Ni1 Ni 0.500 0.500 0.500
```

[3]
# TcNi

A geometry-optimized TcNi structure (PBE-GGA, Alexandria).

The uncorrected energy is -8.088 eV per atom. The calculation puts the energy above the lowest structure with this stoichiometry at 27.4 meV/atom. The calculated volume is 12.6 Å³/atom. The value obtained for the formation energy is -0.01 eV per atom.

Structure (CIF):
```
data_TcNi
_space_group_name_H-M_alt 'C m c m'
_space_group_IT_number 63
_space_group_name_Hall '-C 2c 2'
_cell_length_a 2.553
_cell_length_b 9.720
_cell_length_c 4.075
_cell_angle_alpha 90.00
_cell_angle_beta 90.00
_cell_angle_gamma 90.00
loop_
_atom_site_label
_atom_site_type_symbol
_atom_site_fract_x
_atom_site_fract_y
_atom_site_fract_z
Tc1 Tc 0.000 0.173 0.250
Ni1 Ni 0.000 0.436 0.250
```

[4]
# Tc5Ni

A geometry-optimized Tc5Ni structure (PBE-GGA, Alexandria).

The uncorrected energy is -9.559 eV per atom. The calculation puts the energy above the lowest structure with this stoichiometry at 71.0 meV/atom. The calculated volume is 14.0 Å³/atom. The value obtained for the formation energy is 0.04 eV per atom.

Structure (CIF):
```
data_Tc5Ni
_space_group_name_H-M_alt 'C m m m'
_space_group_IT_number 65
_space_group_name_Hall '-C 2 2'
_cell_length_a 3.839
_cell_length_b 11.404
_cell_length_c 3.837
_cell_angle_alpha 90.00
_cell_angle_beta 90.00
_cell_angle_gamma 90.00
loop_
_atom_site_label
_atom_site_type_symbol
_atom_site_fract_x
_atom_site_fract_y
_atom_site_fract_z
Tc1 Tc 0.000 0.000 0.000
Tc2 Tc 0.000 0.163 0.500
Tc3 Tc 0.000 0.336 0.000
Ni1 Ni 0.000 0.500 0.500
```

[5]
# TcNi

A geometry-optimized TcNi structure (PBE-GGA, Alexandria).

The uncorrected energy is -7.686 eV per atom. The calculation puts the energy above the lowest structure with this stoichiometry at 429.5 meV/atom. The calculated volume is 14.0 Å³/atom. The value obtained for the formation energy is 0.39 eV per atom.

Structure (CIF):
```
data_TcNi
_space_group_name_H-M_alt 'P 63/m m c'
_space_group_IT_number 194
_space_group_name_Hall '-P 6c 2c'
_cell_length_a 4.2075
_cell_length_b 4.2075
_cell_length_c 7.3096
_cell_angle_alpha 90.00
_cell_angle_beta 90.00
_cell_angle_gamma 120.00
loop_
_atom_site_label
_atom_site_type_symbol
_atom_site_fract_x
_atom_site_fract_y
_atom_site_fract_z
Tc1 Tc 0.0000 0.0000 0.2500
Tc2 Tc 0.3333 0.6667 0.2500
Ni1 Ni 0.3333 0.6667 0.5813
```

[6]
# TcNi5

A geometry-optimized TcNi5 structure (PBE-GGA, Alexandria).

The uncorrected energy is -6.528 eV per atom. The calculation puts the energy above the lowest structure with this stoichiometry at 1.5 meV/atom. The calculated volume is 11.4 Å³/atom. The value obtained for the formation energy is 0.02 eV per atom.

Structure (CIF):
```
data_TcNi5
_space_group_name_H-M_alt 'P -6 2 m'
_space_group_IT_number 189
_space_group_name_Hall 'P -6 -2'
_cell_length_a 4.3737
_cell_length_b 4.3737
_cell_length_c 4.1364
_cell_angle_alpha 90.00
_cell_angle_beta 90.00
_cell_angle_gamma 120.00
loop_
_atom_site_label
_atom_site_type_symbol
_atom_site_fract_x
_atom_site_fract_y
_atom_site_fract_z
Tc1 Tc 0.0000 0.0000 0.0000
Ni1 Ni 0.0000 0.6645 0.5000
Ni2 Ni 0.3333 0.6667 0.0000
```

[7]
# Tc3Ni

A geometry-optimized Tc3Ni structure (PBE-GGA, Alexandria).

The uncorrected energy is -9.191 eV per atom. The calculation puts the energy above the lowest structure with this stoichiometry at 127.6 meV/atom. The calculated volume is 13.7 Å³/atom. The value obtained for the formation energy is 0.03 eV per atom.

Structure (CIF):
```
data_Tc3Ni
_space_group_name_H-M_alt 'I 4/m m m'
_space_group_IT_number 139
_space_group_name_Hall '-I 4 2'
_cell_length_a 3.821
_cell_length_b 3.821
_cell_length_c 7.500
_cell_angle_alpha 90.00
_cell_angle_beta 90.00
_cell_angle_gamma 90.00
loop_
_atom_site_label
_atom_site_type_symbol
_atom_site_fract_x
_atom_site_fract_y
_atom_site_fract_z
Tc1 Tc 0.000 0.000 0.000
Tc2 Tc 0.000 0.500 0.250
Ni1 Ni 0.000 0.000 0.500
```

[8]
# Tc3Ni2

A geometry-optimized Tc3Ni2 structure (PBE-GGA, Alexandria).

The uncorrected energy is -8.432 eV per atom. The calculation puts the energy above the lowest structure with this stoichiometry at 0.0 meV/atom. The calculated volume is 13.3 Å³/atom. The value obtained for the formation energy is 0.10 eV per atom.

Structure (CIF):
```
data_Tc3Ni2
_space_group_name_H-M_alt 'R -3 m'
_space_group_IT_number 166
_space_group_name_Hall '-R 3 2"'
_cell_length_a 2.6793
_cell_length_b 2.6793
_cell_length_c 32.1359
_cell_angle_alpha 90.00
_cell_angle_beta 90.00
_cell_angle_gamma 120.00
loop_
_atom_site_label
_atom_site_type_symbol
_atom_site_fract_x
_atom_site_fract_y
_atom_site_fract_z
Tc1 Tc 0.0000 0.0000 0.0000
Tc2 Tc 0.0000 0.0000 0.2003
Ni1 Ni 0.0000 0.0000 0.3984
```

[9]
# Tc3Ni2

A geometry-optimized Tc3Ni2 structure (PBE-GGA, Alexandria).

The uncorrected energy is -8.425 eV per atom. The calculation puts the energy above the lowest structure with this stoichiometry at 7.2 meV/atom. The calculated volume is 13.2 Å³/atom. The value obtained for the formation energy is 0.11 eV per atom.

Structure (CIF):
```
data_Tc3Ni2
_space_group_name_H-M_alt 'F d d 2'
_space_group_IT_number 43
_space_group_name_Hall 'F 2 -2d'
_cell_length_a 8.971
_cell_length_b 12.709
_cell_length_c 4.643
_cell_angle_alpha 90.00
_cell_angle_beta 90.00
_cell_angle_gamma 90.00
loop_
_atom_site_label
_atom_site_type_symbol
_atom_site_fract_x
_atom_site_fract_y
_atom_site_fract_z
Tc1 Tc 0.000 0.000 0.000
Tc2 Tc 0.041 0.399 0.023
Ni1 Ni 0.026 0.298 0.544
```

[10]
# TcNi3

A geometry-optimized TcNi3 structure (PBE-GGA, Alexandria).

The uncorrected energy is -6.803 eV per atom. The calculated volume is 12.0 Å³/atom. The value obtained for the formation energy is 0.12 eV per atom.

Structure (CIF):
```
data_TcNi3
_space_group_name_H-M_alt 'P m -3 n'
_space_group_IT_number 223
_space_group_name_Hall '-P 4n 2 3'
_cell_length_a 4.575
_cell_length_b 4.575
_cell_length_c 4.575
_cell_angle_alpha 90.00
_cell_angle_beta 90.00
_cell_angle_gamma 90.00
loop_
_atom_site_label
_atom_site_type_symbol
_atom_site_fract_x
_atom_site_fract_y
_atom_site_fract_z
Tc1 Tc 0.000 0.000 0.000
Ni1 Ni 0.000 0.250 0.500
```

[11]
# TcNi3

A geometry-optimized TcNi3 structure (PBE-GGA, Alexandria).

The uncorrected energy is -6.785 eV per atom. The calculated volume is 11.8 Å³/atom. The value obtained for the formation energy is 0.14 eV per atom.

Structure (CIF):
```
data_TcNi3
_space_group_name_H-M_alt 'F m -3 m'
_space_group_IT_number 225
_space_group_name_Hall '-F 4 2 3'
_cell_length_a 5.742
_cell_length_b 5.742
_cell_length_c 5.742
_cell_angle_alpha 90.00
_cell_angle_beta 90.00
_cell_angle_gamma 90.00
loop_
_atom_site_label
_atom_site_type_symbol
_atom_site_fract_x
_atom_site_fract_y
_atom_site_fract_z
Tc1 Tc 0.000 0.000 0.000
Ni1 Ni 0.000 0.000 0.500
Ni2 Ni 0.250 0.250 0.250
```

[12]
# TcNi3

A geometry-optimized TcNi3 structure (PBE-GGA, Alexandria).

The uncorrected energy is -6.847 eV per atom. The calculated volume is 12.0 Å³/atom. The value obtained for the formation energy is 0.08 eV per atom.

Structure (CIF):
```
data_TcNi3
_space_group_name_H-M_alt 'P -6 m 2'
_space_group_IT_number 187
_space_group_name_Hall 'P -6 2'
_cell_length_a 2.6112
_cell_length_b 2.6112
_cell_length_c 8.1510
_cell_angle_alpha 90.00
_cell_angle_beta 90.00
_cell_angle_gamma 120.00
loop_
_atom_site_label
_atom_site_type_symbol
_atom_site_fract_x
_atom_site_fract_y
_atom_site_fract_z
Tc1 Tc 0.0000 0.0000 0.0000
Ni1 Ni 0.0000 0.0000 0.5000
Ni2 Ni 0.6667 0.3333 0.2549
```